1.
{"formula": "Sc2Ni5Ge3H2", "functional": "PBE", "state": "relaxed", "e_tot_ev_per_atom": -5.63, "cell": [[3.7632, 0.0000, 0.0000], [0.0000, 3.7632, 0.0000], [-1.8816, -1.8816, 10.2665]], "species": ["Ni", "Ni", "Ni", "Ni", "Ni", "Sc", "Sc", "Ge", "Ge", "Ge", "H", "H"], "frac_coords": [[0.9131, 0.4131, 0.8262], [0.4131, 0.9131, 0.8262], [0.5869, 0.0869, 0.1738], [0.5000, 0.5000, 0.0000], [0.0869, 0.5869, 0.1738], [0.6956, 0.6956, 0.3911], [0.3044, 0.3044, 0.6089], [0.8335, 0.8335, 0.6670], [0.1665, 0.1665, 0.3330], [0.0000, 0.0000, 0.0000], [0.4174, 0.4174, 0.8347], [0.5826, 0.5826, 0.1653]]}


2.
{"formula": "NaLa2Ru", "functional": "PBE", "state": "relaxed", "e_form_mev_per_atom": -167, "cell": [[4.0560, 0.0000, -0.4684], [0.0000, 5.7791, 0.0000], [-0.6815, 0.0000, 11.5405]], "species": ["Ru", "Ru", "Na", "Na", "La", "La", "La", "La"], "frac_coords": [[0.1940, 0.7500, 0.3824], [0.8060, 0.2500, 0.6176], [0.9514, 0.7500, 0.9168], [0.0486, 0.2500, 0.0832], [0.2118, 0.2500, 0.4229], [0.6192, 0.7500, 0.2329], [0.3808, 0.2500, 0.7671], [0.7882, 0.7500, 0.5771]]}